(1)
BeNbPbBr2 (meta-GGA SCAN, PBEsol geometry); spin magnetization = 0.00 μB/atom; crystal system = tetragonal; raw total energy = -149.64 eV/cell; mass density = 6287 kg/m3
1.0
4.9966 0.0000 0.0000
0.0000 4.9966 0.0000
0.0000 0.0000 4.9610
Be Nb Pb Br
1 1 1 2
Cartesian
0.0000 0.0000 0.0000
0.0000 0.0000 2.4805
2.4983 2.4983 0.0000
0.0000 2.4983 2.4805
2.4983 0.0000 2.4805

(2)
BeNiBr2 (meta-GGA SCAN, PBEsol geometry); spin magnetization = 0.01 μB/atom; crystal system = orthorhombic; raw total energy = -120.30 eV/cell; mass density = 4675 kg/m3
1.0
3.7864 0.0000 0.0000
0.0000 6.2189 0.0000
0.0000 0.0000 6.8636
Be Ni Br
2 2 4
Cartesian
0.0000 0.0000 0.0000
1.8932 3.1094 0.0000
0.0000 3.1094 6.0136
1.8932 0.0000 6.0136
0.0000 0.0000 4.5899
0.0000 3.1094 1.4064
1.8932 0.0000 1.4064
1.8932 3.1094 4.5899

(3)
Be4NiBr (meta-GGA SCAN, PBEsol geometry); spin magnetization = 0.00 μB/atom; crystal system = cubic; raw total energy = -49.37 eV/cell; mass density = 4564 kg/m3
1.0
0.0000 3.1672 3.1672
3.1672 0.0000 3.1672
3.1672 3.1672 0.0000
Be Ni Br
4 1 1
Cartesian
0.7775 0.7775 0.7775
2.3897 2.3897 0.7775
2.3897 0.7775 2.3897
0.7775 2.3897 2.3897
4.7508 4.7508 4.7508
3.1672 3.1672 3.1672

(4)
BeBrO2 (meta-GGA SCAN, PBEsol geometry); spin magnetization = 0.00 μB/atom; crystal system = trigonal; raw total energy = -108.65 eV/cell; mass density = 3917 kg/m3
1.0
3.0469 0.0000 0.0000
-1.5235 2.6387 0.0000
0.0000 0.0000 19.1251
Be Br O
3 3 6
Cartesian
0.0000 0.0000 0.0000
0.0000 1.7591 12.7501
1.5235 0.8796 6.3750
0.0000 0.0000 9.5626
0.0000 1.7591 3.1875
1.5235 0.8796 15.9376
0.0000 0.0000 1.4559
0.0000 0.0000 17.6693
0.0000 1.7591 11.2942
0.0000 1.7591 14.2059
1.5235 0.8796 4.9192
1.5235 0.8796 7.8309

(5)
BeOsBr (meta-GGA SCAN, PBEsol geometry); spin magnetization = 0.37 μB/atom; crystal system = cubic; raw total energy = -359.52 eV/cell; mass density = 9620 kg/m3
1.0
5.7763 0.0000 0.0000
0.0000 5.7763 0.0000
0.0000 0.0000 5.7763
Be Os Br
4 4 4
Cartesian
0.0000 0.0000 0.0000
0.0000 2.8882 2.8882
2.8882 0.0000 2.8882
2.8882 2.8882 0.0000
0.0000 0.0000 2.8882
0.0000 2.8882 0.0000
2.8882 0.0000 0.0000
2.8882 2.8882 2.8882
1.4441 1.4441 1.4441
1.4441 4.3322 4.3322
4.3322 1.4441 4.3322
4.3322 4.3322 1.4441

(6)
Be2OsBr (meta-GGA SCAN, PBEsol geometry); spin magnetization = 0.11 μB/atom; crystal system = orthorhombic; raw total energy = -198.00 eV/cell; mass density = 7964 kg/m3
1.0
3.3103 0.0000 0.0000
0.0000 2.9358 0.0000
0.0000 0.0000 12.3649
Be Os Br
4 2 2
Cartesian
0.0000 0.0000 0.0000
0.0000 1.4679 6.1825
1.6552 0.0000 1.4163
1.6552 1.4679 7.5987
0.0000 0.0000 8.0207
0.0000 1.4679 1.8382
1.6552 0.0000 10.8466
1.6552 1.4679 4.6641